No. 1
DFT (PBE) results for a relaxed structure of TlRe2Os.

abc: 4.957 4.957 4.925
angles: 79.32 79.32 34.12
Atoms (fractional coordinates):
Re (0.516, 0.516, 0.463)
Re (0.984, 0.984, 0.037)
Tl (0.750, 0.750, 0.750)
Os (0.250, 0.250, 0.250)

## Properties
Its energy above the lowest structure with this stoichiometry is 173 meV per atom. Its space group is C2/m. As for the total energy: -8.865 eV/atom. The volume is 16.7 Å³ per atom. The calculation puts the magnetization at 0.000 μB per formula unit.

---

No. 2
DFT (PBE) results for a relaxed structure of SrLa2U3N8.

abc: 7.040 7.040 7.150
angles: 60.51 60.51 60.00
Atoms (fractional coordinates):
U (0.997, 0.500, 0.002)
U (0.500, 0.500, 0.002)
U (0.500, 0.997, 0.002)
N (0.727, 0.727, 0.820)
N (0.744, 0.320, 0.193)
N (0.320, 0.744, 0.193)
N (0.694, 0.252, 0.802)
N (0.252, 0.694, 0.802)
N (0.744, 0.744, 0.193)
N (0.270, 0.270, 0.191)
N (0.252, 0.252, 0.802)
La (0.500, 0.500, 0.499)
La (0.113, 0.113, 0.660)
Sr (0.880, 0.880, 0.359)

## Properties
The uncorrected formation energy is -18.9 eV/f.u. Its space group is R3m. As for the total energy: -9.351 eV/atom. The volume is 18.0 Å³ per atom. The calculation puts the magnetization at 2.044 μB per formula unit.